1.
This record from OQMD describes a relaxed structure of CsPr. The functional is PBE-GGA.

spin magnetization = 0.01 μB/f.u.
crystal system = cubic
ρ = 4.6 g cm⁻³
E above lowest polymorph = 70.4 kJ per mole of atoms
calculated total energy = -0.0438 Ha/atom

Geometry as extended XYZ:
```
2
Lattice="0.000 3.662 3.662 3.662 0.000 3.662 3.662 3.662 0.000" Properties=species:S:1:pos:R:3 pbc="T T T"
Cs 0.000 0.000 0.000
Pr 5.493 5.493 5.493
```

---

2.
This record from OQMD describes a relaxed structure of PmHo2. The functional is PBE-GGA.

formation energy = 7.78 eV per formula unit
spin magnetization = 0.03 μB/f.u.
crystal system = cubic
ρ = 3.2 g cm⁻³
E above lowest polymorph = 222.7 kJ per mole of atoms
calculated total energy = -0.0749 Ha/atom

Geometry as extended XYZ:
```
6
Lattice="0.000 6.258 6.258 6.258 0.000 6.258 6.258 6.258 0.000" Properties=species:S:1:pos:R:3 pbc="T T T"
Pm 1.565 1.565 1.565
Pm 10.952 10.952 10.952
Ho 0.000 0.000 0.000
Ho 3.129 3.129 0.000
Ho 3.129 0.000 3.129
Ho 0.000 3.129 3.129
```